1.
First-principles (GGA-PBE) data for a relaxed Cu2SbMo crystal, as listed in Alexandria via LeMat-Bulk.

Output
For the magnetization, the calculation gives 0.00 Bohr magnetons per cell. For the formation energy (no corrections), the calculation gives 0.5137 eV per atom.

Lattice parameters (Å, degrees): 7.1282 7.1282 5.2948 90.00 90.00 90.00
Last column: nearest neighbours and their distance in Å.
Space group I-42d (No. 122)
Asymmetric unit:
Cu (0.2490, 0.2500, 0.1250) (multiplicity 8)  2 Mo 2.60, 2 Sb 2.61, 2 Cu 2.65
Sb (0.0000, 0.0000, 0.5000) (multiplicity 4)  4 Cu 2.61, 2 Mo 2.65
Mo (0.0000, 0.0000, 0.0000) (multiplicity 4)  4 Cu 2.60, 2 Sb 2.65

***

2.
First-principles (GGA-PBE) data for a relaxed FeNiCl crystal, as listed in Alexandria via LeMat-Bulk.

Output
Its offset from the most stable computed form is 0.0 meV/atom. For the magnetization, the calculation gives 4.02 Bohr magnetons per cell. For the formation energy (no corrections), the calculation gives 0.1811 eV per atom.

Lattice parameters (Å, degrees): 3.0831 3.0831 5.4579 90.00 90.00 120.00
Last column: nearest neighbours and their distance in Å.
Space group P3m1 (No. 156)
Asymmetric unit:
Fe (0.0000, 0.0000, 0.0000) (multiplicity 1)  3 Ni 2.37, 3 Cl 2.52
Ni (0.6667, 0.3333, 0.2861) (multiplicity 1)  3 Fe 2.37
Cl (0.3333, 0.6667, 0.6724) (multiplicity 1)  3 Fe 2.52, 3 Ni 2.76

***

3.
First-principles (GGA-PBE) data for a relaxed AgIrCl3 crystal, as listed in Alexandria via LeMat-Bulk.

Output
Its offset from the most stable computed form is 830.7 meV/atom. For the magnetization, the calculation gives 2.53 Bohr magnetons per cell. For the formation energy (no corrections), the calculation gives 0.9395 eV per atom.

Lattice parameters (Å, degrees): 4.9706 4.9706 4.9706 90.00 90.00 90.00
Last column: nearest neighbours and their distance in Å.
Space group Pm-3m (No. 221)
Asymmetric unit:
Ag (0.0000, 0.0000, 0.0000) (multiplicity 1)  6 Cl 2.49
Ir (0.5000, 0.5000, 0.5000) (multiplicity 1)  12 Cl 3.51
Cl (0.0000, 0.0000, 0.5000) (multiplicity 3)  2 Ag 2.49

***

4.
First-principles (GGA-PBE) data for a relaxed LaCe3Bi4 crystal, as listed in Alexandria via LeMat-Bulk.

Output
The formation energy comes out at -19.7 kcal/mol of atoms. For the magnetization, the calculation gives 2.79 Bohr magnetons per cell.

Lattice parameters (Å, degrees): 6.5520 6.5520 6.5520 90.00 90.00 90.00
Last column: nearest neighbours and their distance in Å.
Space group Pm-3m (No. 221)
Asymmetric unit:
La (0.0000, 0.0000, 0.0000) (multiplicity 1)  6 Bi 3.28
Ce (0.0000, 0.5000, 0.5000) (multiplicity 3)  6 Bi 3.28
Bi (0.0000, 0.0000, 0.5000) (multiplicity 3)  4 Ce 3.28, 2 La 3.28
Bi (0.5000, 0.5000, 0.5000) (multiplicity 1)  6 Ce 3.28

***

5.
First-principles (GGA-PBE) data for a relaxed ReP3Br crystal, as listed in Alexandria via LeMat-Bulk.

Output
Its offset from the most stable computed form is 0.0 meV/atom. For the magnetization, the calculation gives 0.00 Bohr magnetons per cell. For the formation energy (no corrections), the calculation gives 0.4903 eV per atom.

Lattice parameters (Å, degrees): 4.6621 4.6621 4.6621 90.00 90.00 90.00
Last column: nearest neighbours and their distance in Å.
Space group Pm-3m (No. 221)
Asymmetric unit:
Re (0.0000, 0.0000, 0.0000) (multiplicity 1)  6 P 2.33
P (0.0000, 0.0000, 0.5000) (multiplicity 3)  2 Re 2.33
Br (0.5000, 0.5000, 0.5000) (multiplicity 1)  12 P 3.30

***

6.
First-principles (GGA-PBE) data for a relaxed Ac2ErMg3In4 crystal, as listed in Alexandria via LeMat-Bulk.

Output
The formation energy comes out at -7.3 kcal/mol of atoms. For the magnetization, the calculation gives 0.00 Bohr magnetons per cell.

Lattice parameters (Å, degrees): 4.8267 4.8267 12.4779 90.00 90.00 90.00
Last column: nearest neighbours and their distance in Å.
Space group P-4m2 (No. 115)
Asymmetric unit:
Ac (0.0000, 0.5000, 0.2396) (multiplicity 2)  6 Mg 3.67-4.05, 8 In 3.70-3.84, 2 Er 4.05
Er (0.0000, 0.0000, 0.5000) (multiplicity 1)  4 In 3.03
Mg (0.0000, 0.5000, 0.8680) (multiplicity 2)  5 In 2.76-2.92
Mg (0.5000, 0.5000, 0.5000) (multiplicity 1)  4 In 3.03
In (0.0000, 0.0000, 0.0000) (multiplicity 1)  4 Mg 2.92
In (0.0000, 0.5000, 0.6469) (multiplicity 2)  3 Mg 2.76-3.03, 2 Er 3.03
In (0.5000, 0.5000, 0.0000) (multiplicity 1)  4 Mg 2.92

***

7.
First-principles (GGA-PBE) data for a relaxed PrY2NpO8 crystal, as listed in Alexandria via LeMat-Bulk.

Output
For the magnetization, the calculation gives 0.00 Bohr magnetons per cell. For the formation energy (no corrections), the calculation gives -3.1399 eV per atom.

Lattice parameters (Å, degrees): 3.9503 7.5162 5.4414 90.00 94.13 90.00
Last column: nearest neighbours and their distance in Å.
Space group P2/m (No. 10)
Asymmetric unit:
Pr (0.0000, 0.0000, 0.0000) (multiplicity 1)  8 O 2.38-2.51
Y (0.5000, 0.2440, 0.5000) (multiplicity 2)  8 O 2.25-2.45
Np (0.0000, 0.5000, 0.0000) (multiplicity 1)  6 O 2.09-2.10
O (0.0280, 0.2839, 0.7605) (multiplicity 4)  1 Np 2.09
O (0.4545, 0.5000, 0.2236) (multiplicity 2)  1 Np 2.10
O (0.4906, 0.0000, 0.7391) (multiplicity 2)  2 Y 2.25, 2 Pr 2.38-2.48

***

8.
First-principles (GGA-PBE) data for a relaxed NaZnPtO4 crystal, as listed in Alexandria via LeMat-Bulk.

Output
For the magnetization, the calculation gives 0.00 Bohr magnetons per cell. For the formation energy (no corrections), the calculation gives -0.5957 eV per atom.

Lattice parameters (Å, degrees): 6.1568 9.6243 6.8352 90.00 90.00 90.00
Last column: nearest neighbours and their distance in Å.
Space group Cmcm (No. 63)
Asymmetric unit:
Na (0.0000, 0.0000, 0.0000) (multiplicity 4)  6 O 2.46
Zn (0.0000, 0.3577, 0.2500) (multiplicity 4)  4 O 1.93-2.03
Pt (0.0000, 0.3350, 0.7500) (multiplicity 4)  4 O 1.91-1.94
O (0.0000, 0.2560, 0.0068) (multiplicity 8)  1 Pt 1.91, 1 Zn 1.93
O (0.2149, 0.4829, 0.7500) (multiplicity 8)  1 Pt 1.94, 1 Zn 2.03

***

9.
First-principles (GGA-PBE) data for a relaxed Sc2MnW crystal, as listed in Alexandria via LeMat-Bulk.

Output
The formation energy comes out at 6.4 kcal/mol of atoms. Its offset from the most stable computed form is 229.3 meV/atom. For the magnetization, the calculation gives 0.00 Bohr magnetons per cell.

Lattice parameters (Å, degrees): 3.1666 4.4798 9.4889 90.00 90.00 90.00
Last column: nearest neighbours and their distance in Å.
Space group Immm (No. 71)
Asymmetric unit:
Sc (0.0000, 0.0000, 0.2142) (multiplicity 4)  2 Mn 2.58, 4 Sc 2.83
Mn (0.0000, 0.5000, 0.5000) (multiplicity 2)  4 Sc 2.58, 4 W 2.74
W (0.0000, 0.5000, 0.0000) (multiplicity 2)  4 Mn 2.74, 4 Sc 3.02

***

10.
First-principles (GGA-PBE) data for a relaxed Ni2Ru2Rh3 crystal, as listed in Alexandria via LeMat-Bulk.

Output
The formation energy comes out at 5.7 kcal/mol of atoms. For the magnetization, the calculation gives 0.03 Bohr magnetons per cell.

Lattice parameters (Å, degrees): 2.6350 6.4440 6.5813 117.73 101.50 90.06
Last column: nearest neighbours and their distance in Å.
Space group P-1 (No. 2)
Asymmetric unit:
Ni (0.1552, 0.3520, 0.3083) (multiplicity 2)  3 Ru 2.56-2.73, 4 Ni 2.64-2.65, 2 Rh 2.69
Ru (0.2041, 0.7875, 0.4086) (multiplicity 2)  5 Rh 2.53-2.73, 3 Ni 2.56-2.73, 4 Ru 2.64-2.75
Rh (0.4242, 0.0600, 0.8496) (multiplicity 2)  4 Rh 2.41-2.64, 3 Ru 2.53-2.65, 2 Ni 2.69
Rh (0.5000, 0.5000, 0.0000) (multiplicity 1)  4 Rh 2.52-2.64, 4 Ru 2.73

***

11.
First-principles (GGA-PBE) data for a relaxed CsCoS2 crystal, as listed in Alexandria via LeMat-Bulk.

Output
For the magnetization, the calculation gives 2.33 Bohr magnetons per cell. For the formation energy (no corrections), the calculation gives -0.6985 eV per atom.

Lattice parameters (Å, degrees): 7.5383 12.2512 5.2561 90.00 110.16 90.00
Last column: nearest neighbours and their distance in Å.
Space group C2/c (No. 15)
Asymmetric unit:
Cs (0.0000, 0.1462, 0.2500) (multiplicity 4)  8 S 3.55-3.79
Co (0.0000, 0.4998, 0.2500) (multiplicity 4)  4 S 2.15
S (0.1706, 0.4023, 0.0842) (multiplicity 8)  2 Co 2.15

***

12.
First-principles (GGA-PBE) data for a relaxed Y8ZnTe4As3 crystal, as listed in Alexandria via LeMat-Bulk.

Output
For the magnetization, the calculation gives 0.00 Bohr magnetons per cell. For the formation energy (no corrections), the calculation gives -1.3298 eV per atom.

Lattice parameters (Å, degrees): 8.4426 8.4426 21.1731 90.00 90.00 120.00
Last column: nearest neighbours and their distance in Å.
Space group R-3m (No. 166, hexagonal axes)
Asymmetric unit:
Y (0.0000, 0.0000, 0.2390) (multiplicity 6)  3 As 2.88, 3 Te 3.15
Y (0.0015, 0.5007, 0.2409) (multiplicity 18)  1 Zn 2.89, 2 As 2.91, 3 Te 3.12-3.13
Zn (0.0000, 0.0000, 0.5000) (multiplicity 3)  6 Y 2.89
Te (0.0000, 0.0000, 0.0000) (multiplicity 3)  6 Y 3.13
Te (0.0000, 0.5000, 0.0000) (multiplicity 9)  6 Y 3.12-3.15
As (0.0000, 0.5000, 0.5000) (multiplicity 9)  6 Y 2.88-2.91

***

13.
First-principles (GGA-PBE) data for a relaxed Y4GaSe3 crystal, as listed in Alexandria via LeMat-Bulk.

Output
Its offset from the most stable computed form is 0.0 meV/atom. For the magnetization, the calculation gives 0.00 Bohr magnetons per cell. For the formation energy (no corrections), the calculation gives -1.5362 eV per atom.

Lattice parameters (Å, degrees): 5.8148 5.8148 5.8148 90.00 90.00 90.00
Last column: nearest neighbours and their distance in Å.
Space group Pm-3m (No. 221)
Asymmetric unit:
Y (0.0000, 0.0000, 0.0000) (multiplicity 1)  6 Se 2.91
Y (0.0000, 0.5000, 0.5000) (multiplicity 3)  4 Se 2.91, 2 Ga 2.91
Ga (0.5000, 0.5000, 0.5000) (multiplicity 1)  6 Y 2.91
Se (0.0000, 0.0000, 0.5000) (multiplicity 3)  6 Y 2.91

***

14.
First-principles (GGA-PBE) data for a relaxed CsPu2HgBr8 crystal, as listed in Alexandria via LeMat-Bulk.

Output
For the magnetization, the calculation gives 9.00 Bohr magnetons per cell. For the formation energy (no corrections), the calculation gives -1.3392 eV per atom.

Lattice parameters (Å, degrees): 7.1016 8.5948 8.6287 90.15 90.18 90.46
Last column: nearest neighbours and their distance in Å.
Space group P-1 (No. 2)
Asymmetric unit:
Cs (0.0000, 0.0000, 0.0000) (multiplicity 1)  6 Br 3.72-3.89
Pu (0.5001, 0.5001, 0.2515) (multiplicity 2)  6 Br 2.73-2.90
Hg (0.0000, 0.0000, 0.5000) (multiplicity 1)  6 Br 3.72-3.91
Br (0.2546, 0.4030, 0.9992) (multiplicity 2)  2 Pu 2.90
Br (0.2568, 0.4038, 0.4990) (multiplicity 2)  2 Pu 2.87
Br (0.3391, 0.7872, 0.2502) (multiplicity 2)  1 Pu 2.73
Br (0.3389, 0.7870, 0.7505) (multiplicity 2)  1 Pu 2.73